Pr8Nd3In | PBE | relaxed

Lattice parameters (Å, degrees): 8.838 8.838 11.713 90.00 90.00 90.00
Space group I-42m (No. 121)
Asymmetric unit:
Pr (0.127, 0.127, 0.250)
Pr (0.249, 0.249, 0.510)
Nd (0.000, 0.000, 0.500)
Nd (0.000, 0.500, 0.250)
In (0.000, 0.000, 0.000)

DFT formation energy ... 0.3982 eV per atom
Calculated volume ... 914.9 Å³ per cell
Total moment ... 0.0 μB/f.u.

=====

LiHfAgRh | PBE | relaxed

Lattice parameters (Å, degrees): 6.426 6.426 6.426 90.00 90.00 90.00
Space group F-43m (No. 216)
Asymmetric unit:
Li (0.000, 0.000, 0.000)
Hf (0.000, 0.000, 0.500)
Ag (0.250, 0.250, 0.250)
Rh (0.250, 0.250, 0.750)

DFT formation energy ... -0.3021 eV per atom
Calculated volume ... 265.4 Å³ per cell
Total moment ... 0.0 μB/f.u.

=====

RbBaH2F | PBE | relaxed

Lattice parameters (Å, degrees): 5.201 5.201 5.075 90.00 90.00 90.00
Space group P4/mmm (No. 123)
Asymmetric unit:
Rb (0.000, 0.000, 0.000)
Ba (0.500, 0.500, 0.500)
H (0.000, 0.500, 0.500)
F (0.500, 0.500, 0.000)

Final energy ... -17.77 eV per formula unit
Calculated volume ... 137.3 Å³ per cell
Total moment ... 0.0 μB/f.u.

=====

Nd2IrRu | PBE | relaxed

Lattice parameters (Å, degrees): 7.065 7.065 7.065 90.00 90.00 90.00
Space group Fm-3m (No. 225)
Asymmetric unit:
Nd (0.250, 0.250, 0.250)
Ir (0.000, 0.000, 0.000)
Ru (0.000, 0.000, 0.500)

DFT formation energy ... -0.3096 eV per atom
Calculated volume ... 352.6 Å³ per cell
Total moment ... 0.0 μB/f.u.

=====

TlTc2Se | PBE | relaxed

Lattice parameters (Å, degrees): 7.254 7.254 5.805 90.00 90.00 90.00
Space group I-42d (No. 122)
Asymmetric unit:
Tl (0.000, 0.000, 0.000)
Tc (0.184, 0.750, 0.625)
Se (0.000, 0.000, 0.500)

Calculated volume ... 305.5 Å³ per cell
E_form (uncorrected) ... 0.775 eV/atom
Energy above the lowest structure with this stoichiometry ... 0.5676 eV/atom
Total moment ... 1.0 μB/f.u.

=====

K4Ac3CeSe8 | PBE | relaxed

Lattice parameters (Å, degrees): 9.0797 9.0797 23.1245 90.00 90.00 120.00
Space group R-3m (No. 166, hexagonal axes)
Asymmetric unit:
K (0.0000, 0.0000, 0.0000)
K (0.0000, 0.5000, 0.0000)
Ac (0.0000, 0.5000, 0.5000)
Ce (0.0000, 0.0000, 0.5000)
Se (0.0000, 0.0000, 0.2399)
Se (0.0090, 0.5045, 0.2380)

Calculated volume ... 1651.0 Å³ per cell
E_form (uncorrected) ... -1.780 eV/atom
Total moment ... 1.0 μB/f.u.